# 1
First-principles (PBE-GGA) data for UPd2Rh4 after structural relaxation, as listed in Alexandria via LeMat-Bulk.

## Properties
- Fermi-level density of states (states/eV/f.u.) = 7.74
- E_form (eV per formula unit) = -1.1
- V (Å³/cell) = 119
- SG = No. 65

a b c (Å): 5.6847 5.6847 3.6971
angles (deg): 90.00 90.00 90.31
Positions (direct):
U1 0.0000 0.0000 0.0000
Pd1 0.2888 0.2888 0.5000
Pd2 0.7112 0.7112 0.5000
Rh1 0.0000 0.5000 0.0000
Rh2 0.2357 0.7643 0.5000
Rh3 0.5000 0.0000 0.0000
Rh4 0.7643 0.2357 0.5000

***

# 2
First-principles (PBE-GGA) data for SrCo2BPd after structural relaxation, as listed in Alexandria via LeMat-Bulk.

## Properties
- Fermi-level density of states (states/eV/f.u.) = 7.36
- E_form (eV per formula unit) = 7.8
- V (Å³/cell) = 121
- SG = No. 123

a b c (Å): 4.6459 4.6459 5.5990
angles (deg): 90.00 90.00 90.00
Positions (direct):
Sr1 0.0000 0.0000 0.0000
Co1 0.0000 0.5000 0.5000
Co2 0.5000 0.0000 0.5000
B1 0.5000 0.5000 0.0000
Pd1 0.0000 0.0000 0.5000

***

# 3
First-principles (PBE-GGA) data for Na2Bi4B after structural relaxation, as listed in Alexandria via LeMat-Bulk.

## Properties
- Fermi-level density of states (states/eV/f.u.) = 4.59
- E_form (eV per formula unit) = 2.5
- V (Å³/cell) = 225
- SG = No. 139

a b c (Å): 8.9171 8.9171 8.9171
angles (deg): 145.60 145.60 49.45
Positions (direct):
Na1 0.1437 0.1437 0.0000
Na2 0.8563 0.8563 0.0000
Bi1 0.0000 0.5000 0.5000
Bi2 0.3560 0.3560 0.0000
Bi3 0.5000 0.0000 0.5000
Bi4 0.6440 0.6440 0.0000
B1 0.5000 0.5000 0.0000

***

# 4
First-principles (PBE-GGA) data for BiSN after structural relaxation, as listed in Alexandria via LeMat-Bulk.

## Properties
- E_form (uncorrected) (meV/atom) = -21
- Fermi-level density of states (states/eV/f.u.) = 0.68
- ΔE to the lowest computed polymorph (eV per formula unit) = 0.27
- V (Å³/cell) = 198
- SG = No. 2

a b c (Å): 3.6776 4.4522 12.0812
angles (deg): 88.78 89.58 90.00
Positions (direct):
Bi1 0.2470 0.2426 0.1284
Bi2 0.7530 0.7574 0.8716
S1 0.2523 0.2550 0.8975
S2 0.7477 0.7450 0.1025
N1 0.0569 0.0940 0.4741
N2 0.9431 0.9060 0.5259

***

# 5
First-principles (PBE-GGA) data for AcY2Si after structural relaxation, as listed in Alexandria via LeMat-Bulk.

## Properties
- E_form (uncorrected) (meV/atom) = -75
- Fermi-level density of states (states/eV/f.u.) = 5.48
- V (Å³/cell) = 144
- SG = No. 166

a b c (Å): 11.0118 11.0118 11.0118
angles (deg): 20.57 20.57 20.57
Positions (direct):
Ac1 0.0000 0.0000 0.0000
Y1 0.1163 0.1163 0.1163
Y2 0.8837 0.8837 0.8837
Si1 0.5000 0.5000 0.5000

***

# 6
First-principles (PBE-GGA) data for Ba2NaHg3Pd4 after structural relaxation, as listed in Alexandria via LeMat-Bulk.

## Properties
- Fermi-level density of states (states/eV/f.u.) = 3.81
- E_form (eV per formula unit) = -4.1
- V (Å³/cell) = 252
- SG = No. 115

a b c (Å): 4.5482 4.5482 12.2046
angles (deg): 90.00 90.00 90.00
Positions (direct):
Ba1 0.0000 0.5000 0.2438
Ba2 0.5000 0.0000 0.7562
Na1 0.0000 0.0000 0.5000
Hg1 0.0000 0.5000 0.8692
Hg2 0.5000 0.0000 0.1308
Hg3 0.5000 0.5000 0.5000
Pd1 0.0000 0.0000 0.0000
Pd2 0.0000 0.5000 0.6454
Pd3 0.5000 0.0000 0.3546
Pd4 0.5000 0.5000 0.0000